(1)
This record from Alexandria via LeMat-Bulk describes a geometry-optimized NpCuIrPt structure. The functional is PBE.

crystal system = cubic
E_form = -0.806 eV/f.u.
magnetization = 11.013 Bohr magnetons per cell

CIF file:
```
data_NpCuIrPt
_chemical_formula_sum 'Np4 Cu4 Ir4 Pt4'
_cell_length_a 6.513
_cell_length_b 6.513
_cell_length_c 6.513
_cell_angle_alpha 90.00
_cell_angle_beta 90.00
_cell_angle_gamma 90.00
_symmetry_space_group_name_H-M 'F -4 3 m'
_symmetry_Int_Tables_number 216
_symmetry_space_group_name_Hall 'F -4 2 3'
loop_
_atom_site_label
_atom_site_type_symbol
_atom_site_fract_x
_atom_site_fract_y
_atom_site_fract_z
Np1 Np 0.000 0.000 0.000
Cu1 Cu 0.000 0.000 0.500
Ir1 Ir 0.250 0.250 0.750
Pt1 Pt 0.250 0.250 0.250
```

***

(2)
This record from Alexandria via LeMat-Bulk describes a geometry-optimized CsSeBr3 structure. The functional is PBE.

formation energy (no corrections) = -0.790 eV per atom
crystal system = triclinic
magnetization = 0.000 Bohr magnetons per cell

CIF file:
```
data_CsSeBr3
_chemical_formula_sum 'Cs2 Se2 Br6'
_cell_length_a 6.895
_cell_length_b 6.896
_cell_length_c 9.113
_cell_angle_alpha 91.02
_cell_angle_beta 90.78
_cell_angle_gamma 110.29
_symmetry_space_group_name_H-M 'P -1'
_symmetry_Int_Tables_number 2
loop_
_symmetry_equiv_pos_as_xyz
'x,y,z'
'-x,-y,-z'
loop_
_atom_site_label
_atom_site_type_symbol
_atom_site_fract_x
_atom_site_fract_y
_atom_site_fract_z
Cs1 Cs 0.191 0.187 0.264
Se1 Se 0.344 0.346 0.815
Br1 Br 0.066 0.387 0.652
Br2 Br 0.337 0.667 0.000
Br3 Br 0.383 0.065 0.652
```

***

(3)
This record from Alexandria via LeMat-Bulk describes a geometry-optimized LaTlCrSn2 structure. The functional is PBE.

crystal system = tetragonal
E_form = 2.702 eV/f.u.
magnetization = 4.521 Bohr magnetons per cell

CIF file:
```
data_LaTlCrSn2
_chemical_formula_sum 'La1 Tl1 Cr1 Sn2'
_cell_length_a 5.664
_cell_length_b 5.664
_cell_length_c 5.109
_cell_angle_alpha 90.00
_cell_angle_beta 90.00
_cell_angle_gamma 90.00
_symmetry_space_group_name_H-M 'P 4/m m m'
_symmetry_Int_Tables_number 123
_symmetry_space_group_name_Hall '-P 4 2'
loop_
_atom_site_label
_atom_site_type_symbol
_atom_site_fract_x
_atom_site_fract_y
_atom_site_fract_z
La1 La 0.000 0.000 0.000
Tl1 Tl 0.500 0.500 0.500
Cr1 Cr 0.500 0.500 0.000
Sn1 Sn 0.000 0.500 0.500
```

***

(4)
This record from Alexandria via LeMat-Bulk describes a geometry-optimized RbDy2As2S6 structure. The functional is PBE.

formation energy (no corrections) = -1.030 eV per atom
crystal system = triclinic
magnetization = 0.000 Bohr magnetons per cell

CIF file:
```
data_RbDy2As2S6
_chemical_formula_sum 'Rb1 Dy2 As2 S6'
_cell_length_a 7.344
_cell_length_b 7.560
_cell_length_c 7.988
_cell_angle_alpha 88.57
_cell_angle_beta 63.15
_cell_angle_gamma 61.78
_symmetry_space_group_name_H-M 'P -1'
_symmetry_Int_Tables_number 2
loop_
_symmetry_equiv_pos_as_xyz
'x,y,z'
'-x,-y,-z'
loop_
_atom_site_label
_atom_site_type_symbol
_atom_site_fract_x
_atom_site_fract_y
_atom_site_fract_z
Rb1 Rb 0.000 0.000 0.000
Dy1 Dy 0.369 0.305 0.972
As1 As 0.012 0.655 0.435
S1 S 0.084 0.362 0.804
S2 S 0.256 0.074 0.217
S3 S 0.424 0.472 0.240
```

***

(5)
This record from Alexandria via LeMat-Bulk describes a geometry-optimized CoSi3 structure. The functional is PBE.

formation energy (no corrections) = -0.131 eV per atom
crystal system = orthorhombic
magnetization = 0.000 Bohr magnetons per cell

CIF file:
```
data_CoSi3
_chemical_formula_sum 'Co4 Si12'
_cell_length_a 5.576
_cell_length_b 6.694
_cell_length_c 5.682
_cell_angle_alpha 90.00
_cell_angle_beta 90.00
_cell_angle_gamma 90.00
_symmetry_space_group_name_H-M 'P n m a'
_symmetry_Int_Tables_number 62
loop_
_symmetry_equiv_pos_as_xyz
'x,y,z'
'-x,-y,-z'
'-x+1/2,-y,z+1/2'
'x+1/2,y,-z+1/2'
'x+1/2,-y+1/2,-z+1/2'
'-x+1/2,y+1/2,z+1/2'
'-x,y+1/2,-z'
'x,-y+1/2,z'
loop_
_atom_site_label
_atom_site_type_symbol
_atom_site_fract_x
_atom_site_fract_y
_atom_site_fract_z
Co1 Co 0.169 0.250 0.015
Si1 Si 0.051 0.250 0.621
Si2 Si 0.173 0.567 0.843
```

***

(6)
This record from Alexandria via LeMat-Bulk describes a geometry-optimized LiInHg2 structure. The functional is PBE.

crystal system = orthorhombic
E_form = -0.607 eV/f.u.
magnetization = 0.000 Bohr magnetons per cell

CIF file:
```
data_LiInHg2
_chemical_formula_sum 'Li1 In1 Hg2'
_cell_length_a 3.714
_cell_length_b 4.022
_cell_length_c 6.110
_cell_angle_alpha 90.00
_cell_angle_beta 90.00
_cell_angle_gamma 90.00
_symmetry_space_group_name_H-M 'P m m 2'
_symmetry_Int_Tables_number 25
loop_
_symmetry_equiv_pos_as_xyz
'x,y,z'
'-x,-y,z'
'-x,y,z'
'x,-y,z'
loop_
_atom_site_label
_atom_site_type_symbol
_atom_site_fract_x
_atom_site_fract_y
_atom_site_fract_z
Li1 Li 0.000 0.000 0.000
In1 In 0.500 0.500 0.725
Hg1 Hg 0.000 0.000 0.484
Hg2 Hg 0.500 0.500 0.207
```

***

(7)
This record from Alexandria via LeMat-Bulk describes a geometry-optimized DyPd2Au structure. The functional is PBE.

crystal system = cubic
E_form = -3.007 eV/f.u.
magnetization = 0.000 Bohr magnetons per cell

CIF file:
```
data_DyPd2Au
_chemical_formula_sum 'Dy4 Pd8 Au4'
_cell_length_a 6.677
_cell_length_b 6.677
_cell_length_c 6.677
_cell_angle_alpha 90.00
_cell_angle_beta 90.00
_cell_angle_gamma 90.00
_symmetry_space_group_name_H-M 'F m -3 m'
_symmetry_Int_Tables_number 225
_symmetry_space_group_name_Hall '-F 4 2 3'
loop_
_atom_site_label
_atom_site_type_symbol
_atom_site_fract_x
_atom_site_fract_y
_atom_site_fract_z
Dy1 Dy 0.000 0.000 0.000
Pd1 Pd 0.250 0.250 0.250
Au1 Au 0.000 0.000 0.500
```

***

(8)
This record from Alexandria via LeMat-Bulk describes a geometry-optimized MgCdP2 structure. The functional is PBE.

crystal system = orthorhombic
E_form = 0.009 eV/f.u.
magnetization = 0.000 Bohr magnetons per cell

CIF file:
```
data_MgCdP2
_chemical_formula_sum 'Mg1 Cd1 P2'
_cell_length_a 3.166
_cell_length_b 4.428
_cell_length_c 5.475
_cell_angle_alpha 90.00
_cell_angle_beta 90.00
_cell_angle_gamma 90.00
_symmetry_space_group_name_H-M 'P m m m'
_symmetry_Int_Tables_number 47
loop_
_symmetry_equiv_pos_as_xyz
'x,y,z'
'-x,-y,-z'
'-x,-y,z'
'x,y,-z'
'x,-y,-z'
'-x,y,z'
'-x,y,-z'
'x,-y,z'
loop_
_atom_site_label
_atom_site_type_symbol
_atom_site_fract_x
_atom_site_fract_y
_atom_site_fract_z
Mg1 Mg 0.000 0.000 0.000
Cd1 Cd 0.500 0.500 0.500
P1 P 0.000 0.000 0.500
P2 P 0.500 0.500 0.000
```

***

(9)
This record from Alexandria via LeMat-Bulk describes a geometry-optimized AlIn2O structure. The functional is PBE.

formation energy (no corrections) = -0.288 eV per atom
crystal system = tetragonal
magnetization = 0.000 Bohr magnetons per cell

CIF file:
```
data_AlIn2O
_chemical_formula_sum 'Al4 In8 O4'
_cell_length_a 5.716
_cell_length_b 5.716
_cell_length_c 11.576
_cell_angle_alpha 90.00
_cell_angle_beta 90.00
_cell_angle_gamma 90.00
_symmetry_space_group_name_H-M 'I -4 2 d'
_symmetry_Int_Tables_number 122
_symmetry_space_group_name_Hall 'I -4 2bw'
loop_
_atom_site_label
_atom_site_type_symbol
_atom_site_fract_x
_atom_site_fract_y
_atom_site_fract_z
Al1 Al 0.000 0.000 0.000
In1 In 0.176 0.250 0.625
O1 O 0.000 0.000 0.500
```

***

(10)
This record from Alexandria via LeMat-Bulk describes a geometry-optimized NdThPd2 structure. The functional is PBE.

crystal system = cubic
E_form = -2.711 eV/f.u.
magnetization = 0.000 Bohr magnetons per cell

CIF file:
```
data_NdThPd2
_chemical_formula_sum 'Nd4 Th4 Pd8'
_cell_length_a 7.251
_cell_length_b 7.251
_cell_length_c 7.251
_cell_angle_alpha 90.00
_cell_angle_beta 90.00
_cell_angle_gamma 90.00
_symmetry_space_group_name_H-M 'F m -3 m'
_symmetry_Int_Tables_number 225
_symmetry_space_group_name_Hall '-F 4 2 3'
loop_
_atom_site_label
_atom_site_type_symbol
_atom_site_fract_x
_atom_site_fract_y
_atom_site_fract_z
Nd1 Nd 0.000 0.000 0.000
Th1 Th 0.000 0.000 0.500
Pd1 Pd 0.250 0.250 0.250
```

***

(11)
This record from Alexandria via LeMat-Bulk describes a geometry-optimized RbSrB3 structure. The functional is PBE.

crystal system = cubic
E_form = 11.691 eV/f.u.
magnetization = 2.940 Bohr magnetons per cell

CIF file:
```
data_RbSrB3
_chemical_formula_sum 'Rb1 Sr1 B3'
_cell_length_a 5.408
_cell_length_b 5.408
_cell_length_c 5.408
_cell_angle_alpha 90.00
_cell_angle_beta 90.00
_cell_angle_gamma 90.00
_symmetry_space_group_name_H-M 'P m -3 m'
_symmetry_Int_Tables_number 221
_symmetry_space_group_name_Hall '-P 4 2 3'
loop_
_atom_site_label
_atom_site_type_symbol
_atom_site_fract_x
_atom_site_fract_y
_atom_site_fract_z
Rb1 Rb 0.000 0.000 0.000
Sr1 Sr 0.500 0.500 0.500
B1 B 0.000 0.500 0.500
```

***

(12)
This record from Alexandria via LeMat-Bulk describes a geometry-optimized ZnF structure. The functional is PBE.

formation energy (no corrections) = -1.225 eV per atom
crystal system = cubic
magnetization = 0.000 Bohr magnetons per cell

CIF file:
```
data_ZnF
_chemical_formula_sum 'Zn8 F8'
_cell_length_a 6.999
_cell_length_b 6.999
_cell_length_c 6.999
_cell_angle_alpha 90.00
_cell_angle_beta 90.00
_cell_angle_gamma 90.00
_symmetry_space_group_name_H-M 'I -4 3 m'
_symmetry_Int_Tables_number 217
_symmetry_space_group_name_Hall 'I -4 2 3'
loop_
_atom_site_label
_atom_site_type_symbol
_atom_site_fract_x
_atom_site_fract_y
_atom_site_fract_z
Zn1 Zn 0.133 0.133 0.867
F1 F 0.209 0.209 0.209
```

***

Repeat the seventh record exactly.
This record from Alexandria via LeMat-Bulk describes a geometry-optimized DyPd2Au structure. The functional is PBE.

crystal system = cubic
E_form = -3.007 eV/f.u.
magnetization = 0.000 Bohr magnetons per cell

CIF file:
```
data_DyPd2Au
_chemical_formula_sum 'Dy4 Pd8 Au4'
_cell_length_a 6.677
_cell_length_b 6.677
_cell_length_c 6.677
_cell_angle_alpha 90.00
_cell_angle_beta 90.00
_cell_angle_gamma 90.00
_symmetry_space_group_name_H-M 'F m -3 m'
_symmetry_Int_Tables_number 225
_symmetry_space_group_name_Hall '-F 4 2 3'
loop_
_atom_site_label
_atom_site_type_symbol
_atom_site_fract_x
_atom_site_fract_y
_atom_site_fract_z
Dy1 Dy 0.000 0.000 0.000
Pd1 Pd 0.250 0.250 0.250
Au1 Au 0.000 0.000 0.500
```

***

Which value of magnetization does entry 7 give?
0.000 Bohr magnetons per cell

***

Look up the magnetization of the eleventh one.
2.940 Bohr magnetons per cell